# InNi3H (PBE, optimized geometry)
data_InNi3H
_chemical_formula_sum 'In2 Ni6 H2'
_cell_length_a 6.9132
_cell_length_b 6.9132
_cell_length_c 6.9132
_cell_angle_alpha 39.26
_cell_angle_beta 39.26
_cell_angle_gamma 39.26
_space_group_name_H-M_alt 'P 1'
_space_group_IT_number 1
loop_
_space_group_symop_operation_xyz
'x,y,z'
loop_
_atom_site_label
_atom_site_fract_x
_atom_site_fract_y
_atom_site_fract_z
Ni1 0.5473 0.8854 0.2251
Ni2 0.4527 0.1146 0.7749
Ni3 0.7749 0.4527 0.1146
H1 0.1572 0.1572 0.1572
Ni4 0.1146 0.7749 0.4527
Ni5 0.8854 0.2251 0.5473
In1 0.6661 0.6661 0.6661
H2 0.8428 0.8428 0.8428
Ni6 0.2251 0.5473 0.8854
In2 0.3339 0.3339 0.3339
# - density of states at the Fermi level (states/eV/atom) = 0.84
# - relative energy among the computed polymorphs (meV per atom) = 248